Entry 1:
The following is a DFT calculation (PBEsol) of a relaxed structure of Tc3SbS.

Geometry as POSCAR:
```
Tc3SbS
1.0
4.342 0.000 0.000
0.000 4.342 0.000
0.000 0.000 4.342
Tc Sb S
3 1 1
Direct
0.000 0.000 0.500 Tc
0.000 0.500 0.000 Tc
0.500 0.000 0.000 Tc
0.500 0.500 0.500 Sb
0.000 0.000 0.000 S
```

- Calculated total energy: -8.089 eV/atom
- Symmetry: Pm-3m, No. 221
- Calculated volume: 16.4 A^3/atom



Entry 2:
The following is a DFT calculation (PBEsol) of a relaxed structure of CuNi.

Geometry as POSCAR:
```
CuNi
1.0
2.460 0.000 0.000
-1.230 2.130 0.000
0.000 0.000 4.097
Cu Ni
1 1
Direct
0.000 0.000 0.000 Cu
0.333 0.667 0.500 Ni
```

- Calculated total energy: -5.220 eV/atom
- Symmetry: P-6m2, No. 187
- DFT formation energy: 0.03 eV per atom
- Calculated volume: 10.7 A^3/atom



Entry 3:
The following is a DFT calculation (PBEsol) of a relaxed structure of CuIrW3.

Geometry as POSCAR:
```
CuIrW3
1.0
4.381 0.000 0.000
0.000 4.381 0.000
0.000 0.000 4.381
Cu Ir W
1 1 3
Direct
0.000 0.000 0.000 Cu
0.500 0.500 0.500 Ir
0.000 0.000 0.500 W
0.000 0.500 0.000 W
0.500 0.000 0.000 W
```

- Calculated total energy: -9.243 eV/atom
- Symmetry: Pm-3m, No. 221
- DFT formation energy: 1.87 eV per atom
- Calculated volume: 16.8 A^3/atom



Entry 4:
The following is a DFT calculation (PBEsol) of a relaxed structure of Cd3Au2.

Geometry as POSCAR:
```
Cd3Au2
1.0
-1.559 1.559 9.585
1.559 -1.559 9.585
1.559 1.559 -9.585
Cd Au
3 2
Direct
0.000 0.000 0.000 Cd
0.195 0.195 0.000 Cd
0.805 0.805 0.000 Cd
0.402 0.402 0.000 Au
0.598 0.598 0.000 Au
```

- Calculated total energy: -2.420 eV/atom
- Symmetry: I4/mmm, No. 139
- DFT formation energy: -0.13 eV per atom
- Distance to the lowest polymorph of the same formula: 34 meV/atom
- Calculated volume: 18.6 A^3/atom



Entry 5:
The following is a DFT calculation (PBEsol) of a relaxed structure of SrReSbTe2.

Geometry as POSCAR:
```
SrReSbTe2
1.0
5.888 0.000 0.000
0.000 5.888 0.000
0.000 0.000 5.883
Sr Re Sb Te
1 1 1 2
Direct
0.000 0.000 0.000 Sr
0.500 0.500 0.500 Re
0.000 0.000 0.500 Sb
0.000 0.500 0.000 Te
0.500 0.000 0.000 Te
```

- Calculated total energy: -3.586 eV/atom
- Symmetry: P4/mmm, No. 123
- Calculated volume: 40.8 A^3/atom



Entry 6:
The following is a DFT calculation (PBEsol) of a relaxed structure of Rb3CoPt.

Geometry as POSCAR:
```
Rb3CoPt
1.0
6.225 0.000 0.000
0.000 6.225 0.000
0.000 0.000 6.225
Rb Co Pt
3 1 1
Direct
0.000 0.000 0.500 Rb
0.000 0.500 0.000 Rb
0.500 0.000 0.000 Rb
0.500 0.500 0.500 Co
0.000 0.000 0.000 Pt
```

- Calculated total energy: -2.609 eV/atom
- Symmetry: Pm-3m, No. 221
- DFT formation energy: 0.95 eV per atom
- Calculated volume: 48.2 A^3/atom



Entry 7:
The following is a DFT calculation (PBEsol) of a relaxed structure of Sc2TaAg.

Geometry as POSCAR:
```
Sc2TaAg
1.0
3.071 0.000 0.000
0.000 3.071 0.000
0.000 0.000 8.183
Sc Ta Ag
2 1 1
Direct
0.000 0.000 0.246 Sc
0.000 0.000 0.754 Sc
0.500 0.500 0.500 Ta
0.500 0.500 0.000 Ag
```

- Calculated total energy: -7.331 eV/atom
- Symmetry: P4/mmm, No. 123
- DFT formation energy: -0.06 eV per atom
- Distance to the lowest polymorph of the same formula: 0 meV/atom
- Calculated volume: 19.3 A^3/atom



Entry 8:
The following is a DFT calculation (PBEsol) of a relaxed structure of Sc2PBr.

Geometry as POSCAR:
```
Sc2PBr
1.0
4.692 0.000 0.000
0.000 4.692 0.000
0.000 0.000 3.273
Sc P Br
2 1 1
Direct
0.000 0.500 0.000 Sc
0.500 0.000 0.000 Sc
0.000 0.000 0.500 P
0.500 0.500 0.500 Br
```

- Calculated total energy: -6.162 eV/atom
- Symmetry: P4/mmm, No. 123
- Calculated volume: 18.0 A^3/atom



Entry 9:
The following is a DFT calculation (PBEsol) of a relaxed structure of BaAs2Pt.

Geometry as POSCAR:
```
BaAs2Pt
1.0
4.753 0.000 0.000
0.000 4.078 0.000
-1.044 0.000 5.138
Ba As Pt
1 2 1
Direct
0.000 0.000 0.000 Ba
0.258 0.500 0.630 As
0.742 0.500 0.370 As
0.500 0.000 0.500 Pt
```

- Calculated total energy: -5.650 eV/atom
- Symmetry: P2/m, No. 10
- DFT formation energy: -0.82 eV per atom
- Calculated volume: 24.9 A^3/atom



Entry 10:
The following is a DFT calculation (PBEsol) of a relaxed structure of OsRhPb2.

Geometry as POSCAR:
```
OsRhPb2
1.0
-2.269 2.269 3.542
2.269 -2.269 3.542
2.269 2.269 -3.542
Os Rh Pb
1 1 2
Direct
0.000 0.000 0.000 Os
0.500 0.500 0.000 Rh
0.250 0.750 0.500 Pb
0.750 0.250 0.500 Pb
```

- Calculated total energy: -6.484 eV/atom
- Symmetry: I4/mmm, No. 139
- DFT formation energy: 0.60 eV per atom
- Distance to the lowest polymorph of the same formula: 0 meV/atom
- Calculated volume: 18.2 A^3/atom



Entry 11:
The following is a DFT calculation (PBEsol) of a relaxed structure of Sr2YSb.

Geometry as POSCAR:
```
Sr2YSb
1.0
1.936 1.118 11.359
-1.936 1.118 11.359
0.000 -2.236 11.359
Sr Y Sb
2 1 1
Direct
0.238 0.238 0.238 Sr
0.762 0.762 0.762 Sr
0.000 0.000 0.000 Y
0.500 0.500 0.500 Sb
```

- Calculated total energy: -3.917 eV/atom
- Symmetry: R-3m, No. 166
- Calculated volume: 36.9 A^3/atom



Entry 12:
The following is a DFT calculation (PBEsol) of a relaxed structure of Sc3PdAu.

Geometry as POSCAR:
```
Sc3PdAu
1.0
4.926 0.000 0.000
0.000 4.926 0.000
0.000 0.000 4.926
Sc Pd Au
3 1 1
Direct
0.000 0.000 0.500 Sc
0.000 0.500 0.000 Sc
0.500 0.000 0.000 Sc
0.000 0.000 0.000 Pd
0.500 0.500 0.500 Au
```

- Calculated total energy: -5.995 eV/atom
- Symmetry: Pm-3m, No. 221
- DFT formation energy: -0.06 eV per atom
- Calculated volume: 23.9 A^3/atom